A geometry-optimized Ga3Ni2Pd structure, computed with PBE.

Geometry as CIF:
```
data_Ga3Ni2Pd
_space_group_name_H-M_alt 'P 4/m m m'
_space_group_IT_number 123
_space_group_name_Hall '-P 4 2'
_cell_length_a 2.978
_cell_length_b 2.978
_cell_length_c 9.003
_cell_angle_alpha 90.00
_cell_angle_beta 90.00
_cell_angle_gamma 90.00
loop_
_atom_site_label
_atom_site_fract_x
_atom_site_fract_y
_atom_site_fract_z
Ga1 0.000 0.000 0.000
Ga2 0.000 0.000 0.315
Ni1 0.500 0.500 0.157
Pd1 0.500 0.500 0.500
```

Values from the calculation:
For the formation energy, the calculation gives -0.418 eV/atom. Its crystal system is tetragonal. The value obtained for the raw total energy is -4.724 eV/atom. As for the calculated density: 9.00 g cm⁻³.